[1]
Sr2AcDySe4: optimized geometry, PBE-GGA.

a = 7.5104 Å, b = 4.3259 Å, c = 7.6066 Å
α = 90.00°, β = 109.07°, γ = 90.00°
With the nearest neighbours (Å) after each atom.
Space group P2/m (No. 10)
One atom of each set of equivalent atoms:
Sr 0.0000 0.0000 0.0000 [1 per cell]  6 Se 3.18-3.19
Sr 0.5000 0.5000 0.0000 [1 per cell]  6 Se 3.05-3.06
Ac 0.0000 0.5000 0.5000 [1 per cell]  6 Se 3.11
Dy 0.5000 0.0000 0.5000 [1 per cell]  6 Se 2.97-2.98
Se 0.2635 0.0000 0.7460 [2 per cell]  1 Dy 2.97, 3 Sr 3.05-3.19, 2 Ac 3.11
Se 0.2680 0.5000 0.2638 [2 per cell]  2 Dy 2.98, 3 Sr 3.06-3.18, 1 Ac 3.11

Results
Crystal system   monoclinic
Uncorrected formation energy   -1887 meV/atom
VASP energy   -5.14 eV per atom
Volume   29.196 Å³/atom


[2]
SrAcDy2Se4: optimized geometry, PBE-GGA.

a = 7.3613 Å, b = 4.2129 Å, c = 7.4269 Å
α = 90.00°, β = 108.90°, γ = 90.00°
With the nearest neighbours (Å) after each atom.
Space group P2/m (No. 10)
One atom of each set of equivalent atoms:
Sr 0.0000 0.0000 0.0000 [1 per cell]  6 Se 3.09-3.10
Ac 0.5000 0.5000 0.0000 [1 per cell]  6 Se 3.12-3.13
Dy 0.0000 0.5000 0.5000 [1 per cell]  6 Se 2.90
Dy 0.5000 0.0000 0.5000 [1 per cell]  6 Se 2.93-2.94
Se 0.2375 0.0000 0.7251 [2 per cell]  3 Dy 2.90-2.94, 1 Sr 3.09, 2 Ac 3.13
Se 0.2544 0.5000 0.2726 [2 per cell]  3 Dy 2.90-2.93, 2 Sr 3.10, 1 Ac 3.12

Results
Crystal system   monoclinic
Uncorrected formation energy   -1831 meV/atom
VASP energy   -5.45 eV per atom
Volume   27.239 Å³/atom


[3]
Ac3TbDy3Se8: optimized geometry, PBE-GGA.

a = 8.3668 Å, b = 8.3668 Å, c = 21.4316 Å
α = 90.00°, β = 90.00°, γ = 120.00°
With the nearest neighbours (Å) after each atom.
Space group R-3m (No. 166, hexagonal axes)
One atom of each set of equivalent atoms:
Ac 0.0000 0.5000 0.0000 [9 per cell]  6 Se 3.12-3.13
Tb 0.0000 0.0000 0.5000 [3 per cell]  6 Se 2.95
Dy 0.0000 0.5000 0.5000 [9 per cell]  6 Se 2.89
Se 0.0000 0.0000 0.2405 [6 per cell]  3 Dy 2.89, 3 Ac 3.13
Se 0.0062 0.5031 0.7577 [18 per cell]  2 Dy 2.89, 1 Tb 2.95, 2 Ac 3.12

Results
Crystal system   trigonal
Uncorrected formation energy   -1858 meV/atom
VASP energy   -5.77 eV per atom
Volume   28.873 Å³/atom


[4]
AcTb2DySe4: optimized geometry, PBE-GGA.

a = 7.2096 Å, b = 4.1144 Å, c = 7.3994 Å
α = 90.00°, β = 108.57°, γ = 90.00°
With the nearest neighbours (Å) after each atom.
Space group P2/m (No. 10)
One atom of each set of equivalent atoms:
Ac 0.0000 0.0000 0.0000 [1 per cell]  6 Se 3.07-3.08
Tb 0.5000 0.0000 0.5000 [1 per cell]  6 Se 2.85-2.86
Tb 0.5000 0.5000 0.0000 [1 per cell]  6 Se 2.98-2.99
Dy 0.0000 0.5000 0.5000 [1 per cell]  6 Se 2.95
Se 0.2565 0.0000 0.7393 [2 per cell]  3 Tb 2.86-2.98, 2 Dy 2.95, 1 Ac 3.07
Se 0.2668 0.5000 0.2691 [2 per cell]  3 Tb 2.85-2.99, 1 Dy 2.95, 2 Ac 3.08

Results
Crystal system   monoclinic
Uncorrected formation energy   -1757 meV/atom
VASP energy   -5.75 eV per atom
Volume   26.007 Å³/atom


[5]
Ac4TbDy3Se8: optimized geometry, PBE-GGA.

a = 8.3257 Å, b = 8.3257 Å, c = 22.0624 Å
α = 90.00°, β = 90.00°, γ = 120.00°
With the nearest neighbours (Å) after each atom.
Space group R-3m (No. 166, hexagonal axes)
One atom of each set of equivalent atoms:
Ac 0.0000 0.0000 0.0000 [3 per cell]  6 Se 3.16
Ac 0.0000 0.5000 0.0000 [9 per cell]  6 Se 3.17
Tb 0.0000 0.0000 0.5000 [3 per cell]  6 Se 2.90
Dy 0.0000 0.5000 0.5000 [9 per cell]  6 Se 2.89
Se 0.0000 0.0000 0.2395 [6 per cell]  3 Dy 2.89, 3 Ac 3.17
Se 0.0010 0.5005 0.7602 [18 per cell]  2 Dy 2.89, 1 Tb 2.90, 3 Ac 3.16-3.17

Results
Crystal system   trigonal
Uncorrected formation energy   -1802 meV/atom
VASP energy   -5.72 eV per atom
Volume   27.593 Å³/atom


[6]
AcTbDy2Se6: optimized geometry, PBE-GGA.

a = 7.3936 Å, b = 7.3936 Å, c = 19.5497 Å
α = 90.00°, β = 90.00°, γ = 120.00°
With the nearest neighbours (Å) after each atom.
Space group R3 (No. 146, hexagonal axes)
One atom of each set of equivalent atoms:
Ac 0.0000 0.0000 0.0000 [3 per cell]  6 Se 3.06-3.19
Tb 0.0000 0.0000 0.4872 [3 per cell]  6 Se 2.90-2.92
Dy 0.0000 0.0000 0.2873 [3 per cell]  6 Se 2.85-2.90
Dy 0.0000 0.0000 0.7942 [3 per cell]  6 Se 2.82-2.90
Se 0.0070 0.3122 0.8860 [9 per cell]  2 Dy 2.85-2.90, 1 Tb 2.90, 1 Ac 3.19
Se 0.0221 0.6221 0.0530 [9 per cell]  2 Dy 2.82-2.90, 1 Tb 2.92, 1 Ac 3.06

Results
Crystal system   trigonal
Uncorrected formation energy   -1881 meV/atom
VASP energy   -5.77 eV per atom
Volume   30.851 Å³/atom


[7]
AcDy2ThSe4: optimized geometry, PBE-GGA.

a = 7.1646 Å, b = 4.1127 Å, c = 7.5125 Å
α = 90.00°, β = 108.44°, γ = 90.00°
With the nearest neighbours (Å) after each atom.
Space group P2/m (No. 10)
One atom of each set of equivalent atoms:
Ac 0.0000 0.0000 0.0000 [1 per cell]  6 Se 3.10
Dy 0.0000 0.5000 0.5000 [1 per cell]  6 Se 2.91
Dy 0.5000 0.0000 0.5000 [1 per cell]  6 Se 2.85-2.86
Th 0.5000 0.5000 0.0000 [1 per cell]  6 Se 3.04-3.05
Se 0.2498 0.0000 0.7302 [2 per cell]  3 Dy 2.86-2.91, 2 Th 3.04, 1 Ac 3.10
Se 0.2645 0.5000 0.2750 [2 per cell]  3 Dy 2.85-2.91, 1 Th 3.05, 2 Ac 3.10

Results
Crystal system   monoclinic
Uncorrected formation energy   -1702 meV/atom
VASP energy   -6.04 eV per atom
Volume   26.250 Å³/atom


[8]
Ac2DyTl3Se6: optimized geometry, PBE-GGA.

a = 7.7100 Å, b = 13.3340 Å, c = 8.1418 Å
α = 90.00°, β = 108.36°, γ = 90.00°
With the nearest neighbours (Å) after each atom.
Space group C2/m (No. 12)
One atom of each set of equivalent atoms:
Ac 0.0000 0.1667 0.0000 [4 per cell]  6 Se 3.11-3.12
Dy 0.0000 0.5000 0.0000 [2 per cell]  6 Se 2.92-2.94
Tl 0.0000 0.0000 0.5000 [2 per cell]  6 Se 3.35-3.50
Tl 0.0000 0.3333 0.5000 [4 per cell]  6 Se 3.33-3.52
Se 0.2274 0.3432 0.2112 [8 per cell]  1 Dy 2.92, 2 Ac 3.11
Se 0.2424 0.5000 0.7848 [4 per cell]  1 Dy 2.94, 2 Ac 3.12

Results
Crystal system   monoclinic
Uncorrected formation energy   -1413 meV/atom
VASP energy   -4.82 eV per atom
Volume   33.101 Å³/atom